[1]
Here is a geometry-optimized TbSm2HoTe5 structure from the Alexandria database. Energies are from PBE-GGA.

For the volume, the calculation gives 39.7 Å³ per atom. Its crystal system is tetragonal. The calculation puts the uncorrected formation energy at -727 meV/atom.

The space group is P4/mmm (No. 123) and the conventional cell measures 5.562, 5.562 and 11.548 Å, with angles of 90.00, 90.00 and 90.00 degrees. The distinct sites, in fractional coordinates, are Tb at (0.000, 0.000, 0.000), Sm at (0.500, 0.500, 0.157), Ho at (0.000, 0.000, 0.500), Te at (0.000, 0.000, 0.255), Te at (0.000, 0.500, 0.000) and Te at (0.500, 0.500, 0.500).

=====

[2]
Here is a geometry-optimized Cu2IrPd structure from the Alexandria database. Energies are from PBE-GGA.

Its energy above the most stable polymorph in this dataset is 81 meV per atom. For the volume, the calculation gives 13.5 Å³ per atom. The formation energy is 0.4 eV per formula unit. Its crystal system is tetragonal.

The space group is P4/mmm (No. 123) and the conventional cell measures 4.401, 4.401 and 2.787 Å, with angles of 90.00, 90.00 and 90.00 degrees. The distinct sites, in fractional coordinates, are Cu at (0.000, 0.500, 0.000), Ir at (0.000, 0.000, 0.500) and Pd at (0.500, 0.500, 0.500).

=====

[3]
Here is a geometry-optimized CaCe2PtN4 structure from the Alexandria database. Energies are from PBE-GGA.

For the volume, the calculation gives 15.5 Å³ per atom. Its crystal system is orthorhombic. The calculation puts the uncorrected formation energy at -796 meV/atom.

The space group is Cmcm (No. 63) and the conventional cell measures 3.451, 11.975 and 11.972 Å, with angles of 90.00, 90.00 and 90.00 degrees. The distinct sites, in fractional coordinates, are Ca at (0.000, 0.111, 0.250), Ce at (0.000, 0.371, 0.049), Pt at (0.000, 0.152, 0.750), N at (0.000, 0.000, 0.000), N at (0.000, 0.265, 0.611) and N at (0.000, 0.455, 0.250).

=====

[4]
Here is a geometry-optimized LaSmAu2 structure from the Alexandria database. Energies are from PBE-GGA.

For the volume, the calculation gives 25.9 Å³ per atom. The formation energy is -3.2 eV per formula unit. Its crystal system is tetragonal.

The space group is P4/mmm (No. 123) and the conventional cell measures 3.702, 3.702 and 7.547 Å, with angles of 90.00, 90.00 and 90.00 degrees. The distinct sites, in fractional coordinates, are La at (0.000, 0.000, 0.000), Sm at (0.000, 0.000, 0.500) and Au at (0.500, 0.500, 0.267).

=====

[5]
Here is a geometry-optimized Ba4Ge2N structure from the Alexandria database. Energies are from PBE-GGA.

Its energy above the most stable polymorph in this dataset is 60 meV per atom. For the volume, the calculation gives 36.5 Å³ per atom. Its crystal system is tetragonal. The calculation puts the uncorrected formation energy at -342 meV/atom.

The space group is I4/mmm (No. 139) and the conventional cell measures 5.771, 5.771 and 15.321 Å, with angles of 90.00, 90.00 and 90.00 degrees. The distinct sites, in fractional coordinates, are Ba at (0.000, 0.000, 0.170), Ba at (0.000, 0.500, 0.000), Ge at (0.000, 0.000, 0.388) and N at (0.000, 0.000, 0.000).

=====

[6]
Here is a geometry-optimized Er2TaCo2 structure from the Alexandria database. Energies are from PBE-GGA.

For the volume, the calculation gives 18.9 Å³ per atom. The formation energy is -1.1 eV per formula unit. Its crystal system is orthorhombic.

The space group is Immm (No. 71) and the conventional cell measures 3.896, 5.437 and 8.937 Å, with angles of 90.00, 90.00 and 90.00 degrees. The distinct sites, in fractional coordinates, are Er at (0.000, 0.000, 0.205), Ta at (0.000, 0.500, 0.000) and Co at (0.000, 0.280, 0.500).

=====

[7]
Here is a geometry-optimized Tb2SmDy3Ho6 structure from the Alexandria database. Energies are from PBE-GGA.

For the volume, the calculation gives 31.4 Å³ per atom. The formation energy is 0.2 eV per formula unit. Its crystal system is monoclinic.

The space group is C2/m (No. 12) and the conventional cell measures 6.138, 10.620 and 11.729 Å, with angles of 90.00, 99.98 and 90.00 degrees. The distinct sites, in fractional coordinates, are Tb at (0.000, 0.167, 0.000), Sm at (0.000, 0.500, 0.000), Dy at (0.000, 0.000, 0.500), Dy at (0.000, 0.333, 0.500), Ho at (0.249, 0.167, 0.749) and Ho at (0.249, 0.500, 0.749).

=====

[8]
Here is a geometry-optimized Tb4SmSc4 structure from the Alexandria database. Energies are from PBE-GGA.

For the volume, the calculation gives 28.7 Å³ per atom. The formation energy is 0.5 eV per formula unit. Its crystal system is tetragonal.

The space group is I4/mmm (No. 139) and the conventional cell measures 10.309, 10.309 and 4.859 Å, with angles of 90.00, 90.00 and 90.00 degrees. The distinct sites, in fractional coordinates, are Tb at (0.169, 0.169, 0.000), Sm at (0.000, 0.000, 0.500) and Sc at (0.000, 0.341, 0.500).

=====

[9]
Here is a geometry-optimized CaFeB2 structure from the Alexandria database. Energies are from PBE-GGA.

Its energy above the most stable polymorph in this dataset is 0 meV per atom. For the volume, the calculation gives 14.6 Å³ per atom. The formation energy is 0.3 eV per formula unit. Its crystal system is tetragonal.

The space group is I4_1/amd (No. 141, origin choice 2) and the conventional cell measures 4.346, 4.346 and 12.340 Å, with angles of 90.00, 90.00 and 90.00 degrees. The distinct sites, in fractional coordinates, are Ca at (0.000, 0.250, 0.375), Fe at (0.000, 0.250, 0.875) and B at (0.000, 0.000, 0.000).

=====

[10]
Here is a geometry-optimized Hg3PdPt structure from the Alexandria database. Energies are from PBE-GGA.

Its energy above the most stable polymorph in this dataset is 0 meV per atom. For the volume, the calculation gives 28.3 Å³ per atom. The formation energy is 2.1 eV per formula unit. Its crystal system is cubic.

The space group is Pm-3m (No. 221) and the conventional cell measures 5.208, 5.208 and 5.208 Å, with angles of 90.00, 90.00 and 90.00 degrees. The distinct sites, in fractional coordinates, are Hg at (0.000, 0.000, 0.500), Pd at (0.500, 0.500, 0.500) and Pt at (0.000, 0.000, 0.000).

=====

[11]
Here is a geometry-optimized VCo2H structure from the Alexandria database. Energies are from PBE-GGA.

Its energy above the most stable polymorph in this dataset is 224 meV per atom. For the volume, the calculation gives 9.5 Å³ per atom. Its crystal system is tetragonal.

The space group is P4/mmm (No. 123) and the conventional cell measures 2.678, 2.678 and 5.283 Å, with angles of 90.00, 90.00 and 90.00 degrees. The distinct sites, in fractional coordinates, are V at (0.000, 0.000, 0.000), Co at (0.500, 0.500, 0.285) and H at (0.000, 0.000, 0.500).

=====

[12]
Here is a geometry-optimized LaPO2F structure from the Alexandria database. Energies are from PBE-GGA.

For the volume, the calculation gives 14.2 Å³ per atom. Its crystal system is tetragonal. The calculation puts the uncorrected formation energy at -877 meV/atom.

The space group is P4/mmm (No. 123) and the conventional cell measures 4.509, 4.509 and 3.483 Å, with angles of 90.00, 90.00 and 90.00 degrees. The distinct sites, in fractional coordinates, are La at (0.000, 0.000, 0.000), P at (0.500, 0.500, 0.000), O at (0.000, 0.500, 0.500) and F at (0.500, 0.500, 0.500).